(1)
This record from Alexandria describes a geometry-optimized Cs2SbI5 structure. The functional is GGA-PBE.

POSCAR file:
```
Cs2SbI5
1.0
-4.485 4.485 5.392
4.485 -4.485 5.392
4.485 4.485 -5.392
Cs Sb I
2 1 5
Cartesian
4.485 0.000 0.000
0.000 4.485 0.000
0.000 0.000 2.842
2.332 2.332 -2.696
2.153 -2.153 2.697
-2.153 2.153 2.697
2.153 2.153 2.697
0.000 0.000 5.617
```

* energy above the lowest structure with this stoichiometry: 0 meV per atom
* ΔE_f (raw): -0.960 eV per atom
* DOS at the Fermi energy: 0.0 states/eV/cell
* space group: I4mm, No. 107
* spin magnetization: 0.0000 μB per atom
* energy: -2.66 eV per atom


(2)
This record from Alexandria describes a geometry-optimized Cs6SbI12 structure. The functional is GGA-PBE.

POSCAR file:
```
Cs6SbI12
1.0
8.052 4.649 5.209
-8.052 4.649 5.209
0.000 -9.298 5.209
Cs Sb I
6 1 12
Cartesian
-3.785 1.301 5.366
0.766 -3.929 5.366
-3.019 -2.628 10.260
3.019 2.628 5.366
-0.766 3.929 10.260
3.785 -1.301 10.260
0.000 0.000 0.000
-5.584 -5.155 8.677
-7.256 2.259 6.949
-2.760 -2.404 6.237
1.672 -7.414 6.949
-3.462 1.188 9.389
-0.702 3.592 6.237
0.702 -3.592 9.389
3.462 -1.188 6.237
-1.672 7.414 8.677
2.760 2.404 9.389
7.256 -2.259 8.677
5.584 5.155 6.949
```

* ΔE_f (raw): -0.975 eV per atom
* DOS at the Fermi energy: 1.6 states/eV/cell
* space group: R-3, No. 148
* spin magnetization: 0.1636 μB per atom
* energy: -2.44 eV per atom


(3)
This record from Alexandria describes a geometry-optimized Cs2SbI structure. The functional is GGA-PBE.

POSCAR file:
```
Cs2SbI
1.0
-5.231 5.231 3.840
5.231 -5.231 3.840
5.231 5.231 -3.840
Cs Sb I
4 2 2
Cartesian
7.846 2.511 -0.960
2.511 2.615 0.960
-2.615 2.720 2.880
2.720 2.615 4.801
5.231 0.000 1.920
0.000 0.000 3.840
0.000 0.000 0.000
0.000 5.231 1.920
```

* energy above the lowest structure with this stoichiometry: 95 meV per atom
* ΔE_f (raw): -0.474 eV per atom
* DOS at the Fermi energy: 7.9 states/eV/cell
* space group: I-42d, No. 122
* spin magnetization: 0.2049 μB per atom
* energy: -2.32 eV per atom


(4)
This record from Alexandria describes a geometry-optimized Cs2Sb2I structure. The functional is GGA-PBE.

POSCAR file:
```
Cs2Sb2I
1.0
-2.211 2.211 11.418
2.211 -2.211 11.418
2.211 2.211 -11.418
Cs Sb I
2 2 1
Cartesian
0.000 0.000 2.351
0.000 0.000 20.486
2.211 0.000 5.709
0.000 2.211 5.709
0.000 0.000 11.418
```

* energy above the lowest structure with this stoichiometry: 0 meV per atom
* ΔE_f (raw): -0.731 eV per atom
* DOS at the Fermi energy: 1.6 states/eV/cell
* space group: I4/mmm, No. 139
* spin magnetization: 0.0000 μB per atom
* energy: -3.03 eV per atom


Question: Look up the ΔE_f (raw) of the fourth one.
Answer: -0.731 eV per atom


Question: Among the records above, which one has the lowest energy?
Answer: Cs2Sb2I


Question: Among the records above, which one has the highest ΔE_f (raw)?
Answer: Cs2SbI